Entry 1:
Rb3CeMg2Se6 after structural relaxation. Source: the Alexandria database, functional PBE.

Output
Crystal system   monoclinic
Calculated volume   358 Å³ per cell
Mass density   4.3 Mg/m³
E_form (uncorrected)   -1223 meV/atom

The structure in POSCAR format:
```
Rb3CeMg2Se6
1.0
3.592 -6.217 0.000
3.592 6.217 0.000
-2.393 0.000 8.021
Rb Ce Mg Se
3 1 2 6
direct
0.000 0.000 0.000
0.334 0.666 0.000
0.666 0.334 0.000
0.500 0.500 0.500
0.166 0.834 0.500
0.834 0.166 0.500
0.097 0.437 0.310
0.223 0.223 0.690
0.437 0.097 0.310
0.563 0.903 0.690
0.777 0.777 0.310
0.903 0.563 0.690
```



Entry 2:
Rb4Ce3MgSe8 after structural relaxation. Source: the Alexandria database, functional PBE.

Output
Crystal system   trigonal
Calculated volume   515 Å³ per cell
Mass density   4.6 Mg/m³
E_form (uncorrected)   -1556 meV/atom

The structure in POSCAR format:
```
Rb4Ce3MgSe8
1.0
4.323 2.496 7.960
-4.323 2.496 7.960
0.000 -4.992 7.960
Rb Ce Mg Se
4 3 1 8
direct
0.000 0.000 0.000
0.000 0.500 0.500
0.500 0.000 0.500
0.500 0.500 0.000
0.000 0.000 0.500
0.000 0.500 0.000
0.500 0.000 0.000
0.500 0.500 0.500
0.233 0.233 0.233
0.237 0.728 0.728
0.272 0.272 0.763
0.272 0.763 0.272
0.728 0.237 0.728
0.728 0.728 0.237
0.763 0.272 0.272
0.767 0.767 0.767
```



Entry 3:
RbCeMgSe3 after structural relaxation. Source: the Alexandria database, functional PBE.

Output
Crystal system   monoclinic
Calculated volume   410 Å³ per cell
Mass density   3.9 Mg/m³
E_form (uncorrected)   -1505 meV/atom

The structure in POSCAR format:
```
RbCeMgSe3
1.0
9.468 0.000 0.000
0.000 4.395 0.000
-2.928 0.000 9.858
Rb Ce Mg Se
2 2 2 6
direct
0.202 0.250 0.226
0.798 0.750 0.774
0.333 0.750 0.859
0.667 0.250 0.141
0.085 0.250 0.607
0.915 0.750 0.393
0.117 0.250 0.860
0.194 0.750 0.536
0.462 0.750 0.154
0.538 0.250 0.846
0.806 0.250 0.464
0.883 0.750 0.140
```



Entry 4:
Rb4Ce3MgTe8 after structural relaxation. Source: the Alexandria database, functional PBE.

Output
Crystal system   trigonal
Calculated volume   627 Å³ per cell
Mass density   4.8 Mg/m³
E_form (uncorrected)   -1229 meV/atom

The structure in POSCAR format:
```
Rb4Ce3MgTe8
1.0
4.614 2.664 8.501
-4.614 2.664 8.501
0.000 -5.328 8.501
Rb Ce Mg Te
4 3 1 8
direct
0.000 0.000 0.000
0.000 0.500 0.500
0.500 0.000 0.500
0.500 0.500 0.000
0.000 0.000 0.500
0.000 0.500 0.000
0.500 0.000 0.000
0.500 0.500 0.500
0.235 0.235 0.235
0.239 0.729 0.729
0.271 0.271 0.761
0.271 0.761 0.271
0.729 0.239 0.729
0.729 0.729 0.239
0.761 0.271 0.271
0.765 0.765 0.765
```



Entry 5:
CeMgRe after structural relaxation. Source: the Alexandria database, functional PBE.

Output
Crystal system   tetragonal
Calculated volume   143 Å³ per cell
Mass density   8.1 Mg/m³
Formation energy   0.28 eV/atom

The structure in POSCAR format:
```
CeMgRe
1.0
-2.294 2.294 6.814
2.294 -2.294 6.814
2.294 2.294 -6.814
Ce Mg Re
2 2 2
direct
0.127 0.127 0.000
0.873 0.873 0.000
0.385 0.385 0.000
0.615 0.615 0.000
0.000 0.500 0.500
0.500 0.000 0.500
```



Entry 6:
Ce2MgRe after structural relaxation. Source: the Alexandria database, functional PBE.

Output
Excess energy over the best structure of this formula in the dataset   0 meV per atom
Crystal system   tetragonal
Calculated volume   99 Å³ per cell
Mass density   8.2 Mg/m³
Formation energy   0.05 eV/atom

The structure in POSCAR format:
```
Ce2MgRe
1.0
3.326 0.000 0.000
0.000 3.326 0.000
0.000 0.000 8.959
Ce Mg Re
2 1 1
direct
0.000 0.000 0.199
0.000 0.000 0.801
0.500 0.500 0.500
0.500 0.500 0.000
```



Entry 7:
Ce2MgRe after structural relaxation. Source: the Alexandria database, functional PBE.

Output
Excess energy over the best structure of this formula in the dataset   110 meV per atom
Crystal system   cubic
Calculated volume   92 Å³ per cell
Mass density   8.8 Mg/m³
Formation energy   0.16 eV/atom

The structure in POSCAR format:
```
Ce2MgRe
1.0
0.000 3.584 3.584
3.584 0.000 3.584
3.584 3.584 0.000
Ce Mg Re
2 1 1
direct
0.250 0.250 0.250
0.750 0.750 0.750
0.000 0.000 0.000
0.500 0.500 0.500
```



Entry 8:
CeMgRe4 after structural relaxation. Source: the Alexandria database, functional PBE.

Output
Crystal system   cubic
Calculated volume   110 Å³ per cell
Mass density   13.7 Mg/m³
Formation energy   0.11 eV/atom

The structure in POSCAR format:
```
CeMgRe4
1.0
0.000 3.801 3.801
3.801 0.000 3.801
3.801 3.801 0.000
Ce Mg Re
1 1 4
direct
0.000 0.000 0.000
0.750 0.750 0.750
0.376 0.376 0.376
0.376 0.376 0.873
0.376 0.873 0.376
0.873 0.376 0.376
```